(1)
# V8CrW2

V8CrW2 after structural relaxation (PBE-GGA, Alexandria via LeMat-Bulk).

- ρ (kg/m3) = 7882
- calculated volume (A^3/atom) = 15.8
- total magnetic moment (Bohr magnetons per cell) = 0.000
- E_form (eV/atom) = 0.67
- excess energy over the best structure of this formula in the dataset (eV/atom) = 0.422

POSCAR file:
```
V8CrW2
1.0
5.0026 -4.0696 0.0000
5.0026 4.0696 0.0000
-1.9396 0.0000 4.2799
V Cr W
8 1 2
Direct
0.0677 0.0677 0.2845
0.1618 0.6608 0.1468
0.2261 0.2261 0.8780
0.3392 0.8382 0.8532
0.6608 0.1618 0.1468
0.7739 0.7739 0.1220
0.8382 0.3392 0.8532
0.9323 0.9323 0.7155
0.5000 0.5000 0.0000
0.3613 0.3613 0.4466
0.6387 0.6387 0.5534
```



(2)
# V2CrW3

V2CrW3 after structural relaxation (PBE-GGA, Alexandria via LeMat-Bulk).

- ρ (kg/m3) = 13552
- calculated volume (A^3/atom) = 14.4
- total magnetic moment (Bohr magnetons per cell) = 0.000
- E_form (eV/atom) = -0.06

POSCAR file:
```
V2CrW3
1.0
2.1656 -6.5072 0.0000
2.1656 6.5072 0.0000
0.0000 0.0000 6.1334
V Cr W
4 2 6
Direct
0.0000 0.0000 0.0000
0.0000 0.0000 0.5000
0.3329 0.6671 0.0000
0.6671 0.3329 0.0000
0.3333 0.6667 0.5000
0.6667 0.3333 0.5000
0.1676 0.8324 0.2531
0.1676 0.8324 0.7469
0.5000 0.5000 0.2522
0.5000 0.5000 0.7478
0.8324 0.1676 0.2531
0.8324 0.1676 0.7469
```



(3)
# VCr3W3

VCr3W3 after structural relaxation (PBE-GGA, Alexandria via LeMat-Bulk).

- ρ (kg/m3) = 11951
- calculated volume (A^3/atom) = 15.1
- total magnetic moment (Bohr magnetons per cell) = 0.000
- E_form (eV/atom) = 0.53

POSCAR file:
```
VCr3W3
1.0
3.3883 1.9562 5.2996
-3.3883 1.9562 5.2996
0.0000 -3.9124 5.2996
V Cr W
2 6 6
Direct
0.2445 0.2445 0.2445
0.7555 0.7555 0.7555
0.1098 0.3823 0.8871
0.1129 0.8902 0.6177
0.3823 0.8871 0.1098
0.6177 0.1129 0.8902
0.8871 0.1098 0.3823
0.8902 0.6177 0.1129
0.1398 0.6308 0.3718
0.3692 0.6282 0.8602
0.3718 0.1398 0.6308
0.6282 0.8602 0.3692
0.6308 0.3718 0.1398
0.8602 0.3692 0.6282
```



(4)
# V2Cr4W3

V2Cr4W3 after structural relaxation (PBE-GGA, Alexandria via LeMat-Bulk).

- ρ (kg/m3) = 11712
- calculated volume (A^3/atom) = 13.6
- total magnetic moment (Bohr magnetons per cell) = 0.000
- E_form (eV/atom) = -0.04

POSCAR file:
```
V2Cr4W3
1.0
4.2441 0.0000 0.0000
-2.1220 3.6755 0.0000
0.0000 0.0000 7.8288
V Cr W
2 4 3
Direct
0.3333 0.6667 0.2147
0.6667 0.3333 0.7853
0.0000 0.0000 0.3319
0.0000 0.0000 0.6681
0.3333 0.6667 0.8906
0.6667 0.3333 0.1094
0.0000 0.0000 0.0000
0.3333 0.6667 0.5637
0.6667 0.3333 0.4363
```



(5)
# V3Cr3W2

V3Cr3W2 after structural relaxation (PBE-GGA, Alexandria via LeMat-Bulk).

- ρ (kg/m3) = 9670
- calculated volume (A^3/atom) = 14.5
- total magnetic moment (Bohr magnetons per cell) = 0.005
- E_form (eV/atom) = 0.32

POSCAR file:
```
V3Cr3W2
1.0
1.4778 -6.3198 0.0000
1.4778 6.3198 0.0000
0.0000 0.0000 12.4382
V Cr W
6 6 4
Direct
0.0726 0.9274 0.7500
0.0750 0.9250 0.0914
0.0750 0.9250 0.4086
0.9250 0.0750 0.5914
0.9250 0.0750 0.9086
0.9274 0.0726 0.2500
0.2495 0.7505 0.2500
0.4195 0.5805 0.0817
0.4195 0.5805 0.4183
0.5805 0.4195 0.5817
0.5805 0.4195 0.9183
0.7505 0.2495 0.7500
0.2467 0.7533 0.5896
0.2467 0.7533 0.9104
0.7533 0.2467 0.0896
0.7533 0.2467 0.4104
```



(6)
# V2CrW6

V2CrW6 after structural relaxation (PBE-GGA, Alexandria via LeMat-Bulk).

- ρ (kg/m3) = 14211
- calculated volume (A^3/atom) = 16.3
- total magnetic moment (Bohr magnetons per cell) = 0.002
- E_form (eV/atom) = 0.49
- excess energy over the best structure of this formula in the dataset (eV/atom) = 0.405

POSCAR file:
```
V2CrW6
1.0
6.2048 -2.2056 0.0000
6.2048 2.2056 0.0000
-0.8622 0.0000 5.3658
V Cr W
2 1 6
Direct
0.0976 0.0976 0.4668
0.9024 0.9024 0.5332
0.0000 0.0000 0.0000
0.2954 0.2954 0.3494
0.3011 0.3011 0.8616
0.4973 0.4973 0.2515
0.5027 0.5027 0.7485
0.6989 0.6989 0.1384
0.7046 0.7046 0.6506
```